A plane-wave DFT calculation with PBE-GGA was carried out for a relaxed structure of CdNi2Bi2.

Lattice parameters (Å, degrees): 8.1350 8.1350 3.2528 90.00 90.00 90.00
With the nearest neighbours (Å) after each atom.
Fractional coordinates of all 10 atoms:
Ni (0.3859, 0.1141, 0.5000)  1 Ni 2.62, 4 Bi 2.80
Ni (0.1141, 0.6141, 0.5000)  1 Ni 2.62, 4 Bi 2.80
Ni (0.8859, 0.3859, 0.5000)  1 Ni 2.62, 4 Bi 2.80
Ni (0.6141, 0.8859, 0.5000)  1 Ni 2.62, 4 Bi 2.80
Bi (0.3383, 0.8383, 0.0000)  6 Ni 2.80-3.05, 2 Cd 3.05
Bi (0.1617, 0.3383, 0.0000)  6 Ni 2.80-3.05, 2 Cd 3.05
Bi (0.8383, 0.6617, 0.0000)  6 Ni 2.80-3.05, 2 Cd 3.05
Bi (0.6617, 0.1617, 0.0000)  6 Ni 2.80-3.05, 2 Cd 3.05
Cd (0.0000, 0.0000, 0.0000)  4 Bi 3.05, 2 Cd 3.25
Cd (0.5000, 0.5000, 0.0000)  4 Bi 3.05, 2 Cd 3.25

Properties
V = 215 Å³ per cell
Raw total energy = -3.755 eV per atom
ΔE to the lowest computed polymorph = 183 meV/atom
ΔH_f (0 K) = 6.767 kcal/mol of atoms